Version i
This record from Alexandria describes a relaxed structure of LiIr2Pb2. The functional is PBE-GGA.

Results
Mass density, g/cm³: 11.32
SG: I4/mmm
Volume, A^3/atom: 23.646

Cell and atoms, written as POSCAR:
```
LiIr2Pb2
1.0
-2.031 3.315 -2.778
0.814 -2.721 -3.842
-5.213 -1.986 -2.668
Li Ir Pb
1 2 2
direct
0.000 0.000 0.000
0.616 0.616 0.768
0.384 0.384 0.232
0.750 0.250 0.500
0.250 0.750 0.500
```



Version ii
This record from Alexandria describes a relaxed structure of LiIr2Pb2. The functional is PBE-GGA.

Results
Mass density, g/cm³: 13.52
SG: P4/mbm
Volume, A^3/atom: 19.790

Cell and atoms, written as POSCAR:
```
LiIr2Pb2
1.0
-3.425 -5.092 4.024
0.871 -4.869 -5.420
3.221 -1.028 1.441
Ir Li Pb
4 2 4
direct
0.367 0.867 0.000
0.133 0.367 0.000
0.633 0.133 0.000
0.867 0.633 0.000
0.000 0.000 0.000
0.500 0.500 0.000
0.833 0.333 0.500
0.167 0.667 0.500
0.333 0.167 0.500
0.667 0.833 0.500
```



Most stable to least stable, the ends of the list are version ii and version i.